Compound: Sr4MnRh
Source: Alexandria via LeMat-Bulk
Functional: PBE-GGA
Structure: relaxed

The structure in extended XYZ format:
```
6
Lattice="0.000 4.766 4.766 4.766 0.000 4.766 4.766 4.766 0.000" Properties=species:S:1:pos:R:3 pbc="T T T"
Sr 3.568 5.964 5.964
Sr 5.964 5.964 3.568
Sr 5.964 3.568 5.964
Sr 3.568 3.568 3.568
Mn 7.149 7.149 7.149
Rh 0.000 0.000 0.000
```

Values from the calculation:
The calculation puts the spin magnetization at 4.25 μB per cell. The density of states at the Fermi level is 10.618 states/eV/f.u. The calculation puts the total energy at -16.93 eV per cell. Its space group is F-43m (216).

***

Compound: SrMn2Rh
Source: Alexandria via LeMat-Bulk
Functional: PBE-GGA
Structure: relaxed

The structure in extended XYZ format:
```
4
Lattice="5.895 -0.148 -0.106 2.991 5.082 0.106 -3.777 -3.666 2.660" Properties=species:S:1:pos:R:3 pbc="T T T"
Mn 8.509 4.725 0.000
Mn 4.820 2.677 0.000
Rh 3.280 -0.673 1.277
Sr 1.828 1.942 1.383
```

Values from the calculation:
The calculation puts the spin magnetization at 8.53 μB per cell. The density of states at the Fermi level is 3.296 states/eV/f.u. The calculation puts the total energy at -25.92 eV per cell. Its space group is Immm (71).

***

Compound: SrTaMn2Rh
Source: Alexandria via LeMat-Bulk
Functional: PBE-GGA
Structure: relaxed

The structure in extended XYZ format:
```
5
Lattice="4.821 0.000 0.000 0.000 4.889 0.000 0.000 0.000 4.821" Properties=species:S:1:pos:R:3 pbc="T T T"
Sr 2.411 2.445 2.411
Mn 0.000 0.000 2.411
Mn 2.411 0.000 0.000
Rh 0.000 2.445 0.000
Ta 0.000 0.000 0.000
```

Values from the calculation:
The calculation puts the spin magnetization at 5.58 μB per cell. The density of states at the Fermi level is 3.678 states/eV/f.u. The calculation puts the total energy at -36.06 eV per cell. Its space group is P4/mmm (123).

***

Compound: Sr2TaMnRh
Source: Alexandria via LeMat-Bulk
Functional: PBE-GGA
Structure: relaxed

The structure in extended XYZ format:
```
5
Lattice="-4.646 3.197 0.033 -0.415 -0.649 4.425 3.154 4.574 0.966" Properties=species:S:1:pos:R:3 pbc="T T T"
Sr 1.577 2.287 0.483
Sr -2.323 1.598 0.016
Mn 0.000 0.000 0.000
Rh -0.953 3.561 2.712
Ta -0.207 -0.324 2.212
```

Values from the calculation:
The calculation puts the spin magnetization at 0.84 μB per cell. The density of states at the Fermi level is 8.485 states/eV/f.u. The calculation puts the total energy at -26.31 eV per cell. Its space group is P4/mmm (123).

***

Compound: TaMnRh
Source: Alexandria via LeMat-Bulk
Functional: PBE-GGA
Structure: relaxed

The structure in extended XYZ format:
```
3
Lattice="5.032 -0.013 0.004 3.017 4.027 -0.004 -3.954 -2.149 2.251" Properties=species:S:1:pos:R:3 pbc="T T T"
Mn 0.010 0.005 0.000
Rh 2.676 1.334 0.000
Ta 5.363 2.675 0.000
```

Values from the calculation:
The calculation puts the spin magnetization at 3.22 μB per cell. The density of states at the Fermi level is 1.799 states/eV/f.u. The calculation puts the total energy at -29.10 eV per cell. Its space group is Imm2 (44).

***

Compound: TaMn2Rh
Source: Alexandria via LeMat-Bulk
Functional: PBE-GGA
Structure: relaxed

The structure in extended XYZ format:
```
4
Lattice="-0.237 -8.780 -1.191 1.063 -8.042 -3.572 2.549 -8.403 -1.212" Properties=species:S:1:pos:R:3 pbc="T T T"
Mn 3.365 -25.145 -5.956
Mn 0.846 -6.324 -1.498
Rh 1.695 -12.666 -3.000
Ta 2.533 -18.929 -4.484
```

Values from the calculation:
The calculation puts the spin magnetization at 5.96 μB per cell. The density of states at the Fermi level is 6.617 states/eV/f.u. The calculation puts the total energy at -36.97 eV per cell. Its space group is R3m (160).

***

Compound: TaMn2Rh
Source: Alexandria via LeMat-Bulk
Functional: PBE-GGA
Structure: relaxed

The structure in extended XYZ format:
```
4
Lattice="-2.018 -1.103 -4.444 1.901 -3.806 2.650 -2.294 -1.254 0.857" Properties=species:S:1:pos:R:3 pbc="T T T"
Mn 0.000 0.000 0.000
Mn -2.156 -1.178 -1.793
Rh -0.196 -2.530 1.754
Ta -0.058 -2.455 -0.897
```

Values from the calculation:
The calculation puts the spin magnetization at 5.07 μB per cell. The density of states at the Fermi level is 4.338 states/eV/f.u. The calculation puts the total energy at -37.54 eV per cell. Its space group is C2/m (12).

***

Compound: Ta2MnRh9
Source: Alexandria via LeMat-Bulk
Functional: PBE-GGA
Structure: relaxed

The structure in extended XYZ format:
```
12
Lattice="-2.826 -0.496 2.613 -0.869 -3.431 -1.591 7.515 -5.212 7.138" Properties=species:S:1:pos:R:3 pbc="T T T"
Ta 2.475 -1.717 2.351
Ta 5.040 -3.496 4.787
Mn 0.000 0.000 0.000
Rh -1.847 -1.963 0.511
Rh 0.651 -3.696 2.884
Rh 3.169 -5.443 5.276
Rh -0.176 -1.106 2.481
Rh 2.345 -2.854 4.875
Rh 4.865 -4.602 7.269
Rh 0.803 -2.574 0.380
Rh 3.323 -4.322 2.773
Rh 5.843 -6.070 5.167
```

Values from the calculation:
The calculation puts the spin magnetization at 2.98 μB per cell. The density of states at the Fermi level is 10.048 states/eV/f.u. The calculation puts the total energy at -104.35 eV per cell. Its space group is P4/mmm (123).

***

Question: density of states at the Fermi level of number 4 (Sr2TaMnRh)?
Answer: 8.485 states/eV/f.u.

***

Question: Which value of spin magnetization does entry 8 give?
Answer: 2.98 μB per cell

***

What did the third record say?
Compound: SrTaMn2Rh
Source: Alexandria via LeMat-Bulk
Functional: PBE-GGA
Structure: relaxed

The structure in extended XYZ format:
```
5
Lattice="4.821 0.000 0.000 0.000 4.889 0.000 0.000 0.000 4.821" Properties=species:S:1:pos:R:3 pbc="T T T"
Sr 2.411 2.445 2.411
Mn 0.000 0.000 2.411
Mn 2.411 0.000 0.000
Rh 0.000 2.445 0.000
Ta 0.000 0.000 0.000
```

Values from the calculation:
The calculation puts the spin magnetization at 5.58 μB per cell. The density of states at the Fermi level is 3.678 states/eV/f.u. The calculation puts the total energy at -36.06 eV per cell. Its space group is P4/mmm (123).

***

Question: Which formula does entry 2 have?
Answer: SrMn2Rh